Below is a relaxed SrMn5S6O24 crystal, with properties calculated at the PBE+U level.

CIF file:
```
data_SrMn5S6O24
_chemical_formula_sum 'Sr3 Mn15 S18 O72'
_symmetry_space_group_name_H-M 'P -3'
_symmetry_Int_Tables_number 147
_cell_length_a 14.8551
_cell_length_b 14.8551
_cell_length_c 7.5847
_cell_angle_alpha 90.00
_cell_angle_beta 90.00
_cell_angle_gamma 120.00
loop_
_symmetry_equiv_pos_as_xyz
'x,y,z'
'-x,-y,-z'
'-y,x-y,z'
'y,-x+y,-z'
'-x+y,-x,z'
'x-y,x,-z'
loop_
_atom_site_label
_atom_site_type_symbol
_atom_site_fract_x
_atom_site_fract_y
_atom_site_fract_z
Sr1 Sr 0.0000 0.0000 0.0000
Sr2 Sr 0.3333 0.6667 0.4978
Mn1 Mn 0.0000 0.0000 0.5000
Mn2 Mn 0.0018 0.3472 0.4660
Mn3 Mn 0.0042 0.6816 0.9542
Mn4 Mn 0.3333 0.6667 0.9972
S1 S 0.0973 0.8712 0.2556
S2 S 0.1087 0.5695 0.2401
S3 S 0.2054 0.4407 0.7555
O1 O 0.0321 0.4550 0.2440
O2 O 0.0407 0.1198 0.2940
O3 O 0.0433 0.7876 0.3850
O4 O 0.0573 0.8341 0.0735
O5 O 0.0821 0.6205 0.1007
O6 O 0.0893 0.3013 0.2599
O7 O 0.1095 0.6139 0.4175
O8 O 0.1205 0.7539 0.7374
O9 O 0.1343 0.4093 0.9063
O10 O 0.1542 0.4430 0.5878
O11 O 0.2148 0.5851 0.2085
O12 O 0.2525 0.7049 0.7855
```

Raw total energy   -6.7678 eV per atom
Magnetic moment   75.00 μB/cell